Here is crystalline Y3InO at its relaxed geometry from the Alexandria database. Energies are from GGA-PBE.

Its symmetry is No. 15. For the raw formation energy, the calculation gives -1.30 eV per atom.

Cell lengths 8.9821, 8.9821, 7.1929 Å; angles 103.89, 103.89, 74.71 degrees
Fractional coordinates of all 20 atoms:
1 Y 0.0252 0.2863 0.6334
2 Y 0.0938 0.6567 0.8666
3 Y 0.2863 0.0252 0.1334
4 Y 0.3159 0.4031 0.4815
5 Y 0.3433 0.9062 0.6334
6 Y 0.4031 0.3159 0.9815
7 Y 0.5969 0.6841 0.0185
8 Y 0.6567 0.0938 0.3666
9 Y 0.6841 0.5969 0.5185
10 Y 0.7137 0.9748 0.8666
11 Y 0.9062 0.3433 0.1334
12 Y 0.9748 0.7137 0.3666
13 In 0.0101 0.9899 0.7500
14 In 0.3335 0.6665 0.2500
15 In 0.6665 0.3335 0.7500
16 In 0.9899 0.0101 0.2500
17 O 0.2177 0.4157 0.7507
18 O 0.4157 0.2177 0.2507
19 O 0.5843 0.7823 0.7493
20 O 0.7823 0.5843 0.2493

---

Here is crystalline Mn2CdCu at its relaxed geometry from the Alexandria database. Energies are from GGA-PBE.

As for the energy of formation from the pure elements: 0.3692 eV per atom. Its symmetry is No. 166.

Cell lengths 8.9599, 8.9599, 8.9599 Å; angles 18.63, 18.63, 18.63 degrees
Fractional coordinates of all 4 atoms:
1 Mn 0.2421 0.2421 0.2421
2 Mn 0.7579 0.7579 0.7579
3 Cd 0.0000 0.0000 0.0000
4 Cu 0.5000 0.5000 0.5000

---

Here is crystalline Li3BRu at its relaxed geometry from the Alexandria database. Energies are from GGA-PBE.

As for the energy of formation from the pure elements: 0.9432 eV per atom. Its symmetry is No. 221. The energy above the most stable polymorph in this dataset is 0 meV/atom.

Cell lengths 4.0004, 4.0004, 4.0004 Å; angles 90.00, 90.00, 90.00 degrees
Fractional coordinates of all 5 atoms:
1 Li 0.0000 0.0000 0.5000
2 Li 0.0000 0.5000 0.0000
3 Li 0.5000 0.0000 0.0000
4 B 0.0000 0.0000 0.0000
5 Ru 0.5000 0.5000 0.5000

---

Here is crystalline Mg2CoH5 at its relaxed geometry from the Alexandria database. Energies are from GGA-PBE.

Its symmetry is No. 129. The energy above the most stable polymorph in this dataset is 0 meV/atom.

Cell lengths 4.4215, 4.4215, 6.5404 Å; angles 90.00, 90.00, 90.00 degrees
Fractional coordinates of all 16 atoms:
1 Mg 0.2500 0.7500 0.0000
2 Mg 0.2500 0.7500 0.5000
3 Mg 0.7500 0.2500 0.0000
4 Mg 0.7500 0.2500 0.5000
5 Co 0.2500 0.2500 0.2430
6 Co 0.7500 0.7500 0.7570
7 H 0.0064 0.0064 0.2713
8 H 0.0064 0.4936 0.2713
9 H 0.2500 0.2500 0.0033
10 H 0.4936 0.0064 0.2713
11 H 0.4936 0.4936 0.2713
12 H 0.5064 0.5064 0.7287
13 H 0.5064 0.9936 0.7287
14 H 0.7500 0.7500 0.9967
15 H 0.9936 0.5064 0.7287
16 H 0.9936 0.9936 0.7287

---

Here is crystalline La2CeThP4 at its relaxed geometry from the Alexandria database. Energies are from GGA-PBE.

As for the energy of formation from the pure elements: -1.5682 eV per atom. Its symmetry is No. 10.

Cell lengths 7.2595, 4.1939, 7.2812 Å; angles 90.00, 109.44, 90.00 degrees
Fractional coordinates of all 8 atoms:
1 La 0.0000 0.0000 0.0000
2 La 0.5000 0.5000 0.0000
3 Ce 0.0000 0.5000 0.5000
4 Th 0.5000 0.0000 0.5000
5 P 0.2459 0.0000 0.7387
6 P 0.2530 0.5000 0.2608
7 P 0.7470 0.5000 0.7392
8 P 0.7541 0.0000 0.2613

---

Here is crystalline YTa2Ag at its relaxed geometry from the Alexandria database. Energies are from GGA-PBE.

As for the energy of formation from the pure elements: 0.3780 eV per atom. Its symmetry is No. 139. The energy above the most stable polymorph in this dataset is 196 meV/atom.

Cell lengths 5.6567, 5.6567, 5.6567 Å; angles 137.23, 137.23, 62.09 degrees
Fractional coordinates of all 4 atoms:
1 Y 0.0000 0.0000 0.0000
2 Ta 0.2500 0.7500 0.5000
3 Ta 0.7500 0.2500 0.5000
4 Ag 0.5000 0.5000 0.0000

---

Here is crystalline PmHoSc2P4 at its relaxed geometry from the Alexandria database. Energies are from GGA-PBE.

As for the energy of formation from the pure elements: -1.5116 eV per atom. Its symmetry is No. 10.

Cell lengths 6.7583, 3.9184, 6.7825 Å; angles 90.00, 109.56, 90.00 degrees
Fractional coordinates of all 8 atoms:
1 Pm 0.0000 0.0000 0.0000
2 Ho 0.0000 0.5000 0.5000
3 Sc 0.5000 0.0000 0.5000
4 Sc 0.5000 0.5000 0.0000
5 P 0.2668 0.0000 0.7514
6 P 0.2701 0.5000 0.2609
7 P 0.7299 0.5000 0.7391
8 P 0.7332 0.0000 0.2486

---

Here is crystalline KGaW3 at its relaxed geometry from the Alexandria database. Energies are from GGA-PBE.

As for the energy of formation from the pure elements: 2.3075 eV per atom. Its symmetry is No. 221. The energy above the most stable polymorph in this dataset is 0 meV/atom.

Cell lengths 4.7928, 4.7928, 4.7928 Å; angles 90.00, 90.00, 90.00 degrees
Fractional coordinates of all 5 atoms:
1 K 0.0000 0.0000 0.0000
2 Ga 0.5000 0.5000 0.5000
3 W 0.0000 0.5000 0.5000
4 W 0.5000 0.0000 0.5000
5 W 0.5000 0.5000 0.0000

---

Here is crystalline PaNbVMo at its relaxed geometry from the Alexandria database. Energies are from GGA-PBE.

As for the energy of formation from the pure elements: 0.0430 eV per atom. Its symmetry is No. 216.

Cell lengths 4.6654, 4.6654, 4.6654 Å; angles 60.00, 60.00, 60.00 degrees
Fractional coordinates of all 4 atoms:
1 Pa 0.0000 0.0000 0.0000
2 Nb 0.5000 0.5000 0.5000
3 V 0.7500 0.7500 0.7500
4 Mo 0.2500 0.2500 0.2500

---

Here is crystalline LaSm2Ho3 at its relaxed geometry from the Alexandria database. Energies are from GGA-PBE.

As for the energy of formation from the pure elements: 0.2170 eV per atom. Its symmetry is No. 36.

Cell lengths 8.1630, 8.1630, 6.3797 Å; angles 90.00, 90.00, 108.04 degrees
Fractional coordinates of all 12 atoms:
1 La 0.1762 0.8238 0.5000
2 La 0.8238 0.1762 0.0000
3 Sm 0.2634 0.3747 0.7188
4 Sm 0.3747 0.2634 0.2188
5 Sm 0.6253 0.7366 0.7188
6 Sm 0.7366 0.6253 0.2188
7 Ho 0.0815 0.9185 0.9754
8 Ho 0.1219 0.5171 0.1673
9 Ho 0.4829 0.8781 0.1673
10 Ho 0.5171 0.1219 0.6673
11 Ho 0.8781 0.4829 0.6673
12 Ho 0.9185 0.0815 0.4754

---

Here is crystalline DyPuPa2N4 at its relaxed geometry from the Alexandria database. Energies are from GGA-PBE.

Its symmetry is No. 10. For the raw formation energy, the calculation gives -1.56 eV per atom.

Cell lengths 6.0321, 3.4992, 6.0864 Å; angles 90.00, 109.64, 90.00 degrees
Fractional coordinates of all 8 atoms:
1 Dy 0.0000 0.0000 0.0000
2 Pu 0.0000 0.5000 0.5000
3 Pa 0.5000 0.0000 0.5000
4 Pa 0.5000 0.5000 0.0000
5 N 0.2632 0.0000 0.7594
6 N 0.2625 0.5000 0.2499
7 N 0.7368 0.0000 0.2406
8 N 0.7375 0.5000 0.7501

---

Here is crystalline AsRu at its relaxed geometry from the Alexandria database. Energies are from GGA-PBE.

As for the energy of formation from the pure elements: 0.0780 eV per atom. Its symmetry is No. 87.

Cell lengths 7.6553, 7.6553, 7.6553 Å; angles 92.27, 92.27, 157.03 degrees
Fractional coordinates of all 8 atoms:
1 As 0.0857 0.2924 0.3781
2 As 0.2924 0.9143 0.2067
3 As 0.7076 0.0857 0.7933
4 As 0.9143 0.7076 0.6219
5 Ru 0.1345 0.7438 0.8782
6 Ru 0.2562 0.1345 0.3907
7 Ru 0.7438 0.8655 0.6093
8 Ru 0.8655 0.2562 0.1218

---

Here is crystalline Rb2NaMoCl6 at its relaxed geometry from the Alexandria database. Energies are from GGA-PBE.

Its symmetry is No. 166. For the raw formation energy, the calculation gives -1.51 eV per atom.

Cell lengths 13.4449, 13.4449, 13.4449 Å; angles 31.59, 31.59, 31.59 degrees
Fractional coordinates of all 20 atoms:
1 Rb 0.1309 0.1309 0.1309
2 Rb 0.2979 0.2979 0.2979
3 Rb 0.7021 0.7021 0.7021
4 Rb 0.8691 0.8691 0.8691
5 Na 0.4126 0.4126 0.4126
6 Na 0.5874 0.5874 0.5874
7 Mo 0.0000 0.0000 0.0000
8 Mo 0.5000 0.5000 0.5000
9 Cl 0.1446 0.6217 0.6217
10 Cl 0.1955 0.1955 0.7214
11 Cl 0.1955 0.7214 0.1955
12 Cl 0.2786 0.8045 0.8045
13 Cl 0.3783 0.3783 0.8554
14 Cl 0.3783 0.8554 0.3783
15 Cl 0.6217 0.1446 0.6217
16 Cl 0.6217 0.6217 0.1446
17 Cl 0.7214 0.1955 0.1955
18 Cl 0.8045 0.2786 0.8045
19 Cl 0.8045 0.8045 0.2786
20 Cl 0.8554 0.3783 0.3783

---

Here is crystalline LaNb8O14 at its relaxed geometry from the Alexandria database. Energies are from GGA-PBE.

Its symmetry is No. 55. For the raw formation energy, the calculation gives -2.45 eV per atom.

Cell lengths 9.2446, 10.4329, 6.0472 Å; angles 90.00, 90.00, 90.00 degrees
Fractional coordinates of all 46 atoms:
1 La 0.0000 0.0000 0.0000
2 La 0.5000 0.5000 0.0000
3 Nb 0.1137 0.1654 0.5000
4 Nb 0.1203 0.6638 0.0000
5 Nb 0.1263 0.4236 0.2311
6 Nb 0.1263 0.4236 0.7689
7 Nb 0.3737 0.9236 0.2311
8 Nb 0.3737 0.9236 0.7689
9 Nb 0.3797 0.1638 0.0000
10 Nb 0.3863 0.6654 0.5000
11 Nb 0.6137 0.3346 0.5000
12 Nb 0.6203 0.8362 0.0000
13 Nb 0.6263 0.0764 0.2311
14 Nb 0.6263 0.0764 0.7689
15 Nb 0.8737 0.5764 0.2311
16 Nb 0.8737 0.5764 0.7689
17 Nb 0.8797 0.3362 0.0000
18 Nb 0.8863 0.8346 0.5000
19 O 0.0000 0.0000 0.5000
20 O 0.0000 0.5000 0.5000
21 O 0.0033 0.2472 0.2441
22 O 0.0033 0.2472 0.7559
23 O 0.2271 0.8540 0.0000
24 O 0.2324 0.0833 0.2389
25 O 0.2324 0.0833 0.7611
26 O 0.2356 0.3204 0.5000
27 O 0.2644 0.8204 0.5000
28 O 0.2676 0.5833 0.2389
29 O 0.2676 0.5833 0.7611
30 O 0.2729 0.3540 0.0000
31 O 0.4967 0.7472 0.2441
32 O 0.4967 0.7472 0.7559
33 O 0.5000 0.0000 0.5000
34 O 0.5000 0.5000 0.5000
35 O 0.5033 0.2528 0.2441
36 O 0.5033 0.2528 0.7559
37 O 0.7271 0.6460 0.0000
38 O 0.7324 0.4167 0.2389
39 O 0.7324 0.4167 0.7611
40 O 0.7356 0.1796 0.5000
41 O 0.7644 0.6796 0.5000
42 O 0.7676 0.9167 0.2389
43 O 0.7676 0.9167 0.7611
44 O 0.7729 0.1460 0.0000
45 O 0.9967 0.7528 0.2441
46 O 0.9967 0.7528 0.7559

---

Here is crystalline CaAsSe2 at its relaxed geometry from the Alexandria database. Energies are from GGA-PBE.

Its symmetry is No. 122. For the raw formation energy, the calculation gives -0.67 eV per atom.

Cell lengths 8.5112, 8.5112, 8.5112 Å; angles 139.89, 139.89, 58.02 degrees
Fractional coordinates of all 8 atoms:
1 Ca 0.0000 0.0000 0.0000
2 Ca 0.7500 0.2500 0.5000
3 As 0.2500 0.7500 0.5000
4 As 0.5000 0.5000 0.0000
5 Se 0.1632 0.6250 0.0382
6 Se 0.3750 0.4132 0.5382
7 Se 0.5868 0.1250 0.9618
8 Se 0.8750 0.8368 0.4618

---

Here is crystalline Zr2MnCuBr at its relaxed geometry from the Alexandria database. Energies are from GGA-PBE.

Its symmetry is No. 123. For the raw formation energy, the calculation gives 0.67 eV per atom.

Cell lengths 4.8133, 4.8133, 4.6015 Å; angles 90.00, 90.00, 90.00 degrees
Fractional coordinates of all 5 atoms:
1 Zr 0.0000 0.5000 0.0000
2 Zr 0.5000 0.0000 0.0000
3 Mn 0.0000 0.0000 0.0000
4 Cu 0.5000 0.5000 0.5000
5 Br 0.0000 0.0000 0.5000

---

Here is crystalline Cu2AgCl3 at its relaxed geometry from the Alexandria database. Energies are from GGA-PBE.

Its symmetry is No. 11. The energy above the most stable polymorph in this dataset is 25 meV/atom. For the raw formation energy, the calculation gives -0.38 eV per atom.

Cell lengths 7.2811, 3.6215, 11.5748 Å; angles 90.00, 106.70, 90.00 degrees
Fractional coordinates of all 12 atoms:
1 Cu 0.0371 0.2500 0.3420
2 Cu 0.2640 0.2500 0.1691
3 Cu 0.7360 0.7500 0.8309
4 Cu 0.9629 0.7500 0.6580
5 Ag 0.0357 0.2500 0.8476
6 Ag 0.9643 0.7500 0.1524
7 Cl 0.1639 0.2500 0.6607
8 Cl 0.2527 0.7500 0.0357
9 Cl 0.3465 0.2500 0.3640
10 Cl 0.6535 0.7500 0.6360
11 Cl 0.7473 0.2500 0.9643
12 Cl 0.8361 0.7500 0.3393

---

Here is crystalline La4Sb2TeS at its relaxed geometry from the Alexandria database. Energies are from GGA-PBE.

Its symmetry is No. 74. For the raw formation energy, the calculation gives -1.55 eV per atom.

Cell lengths 9.0214, 9.0214, 9.0214 Å; angles 120.03, 119.96, 90.01 degrees
Fractional coordinates of all 16 atoms:
1 La 0.2463 0.2425 0.0038
2 La 0.2520 0.2389 0.4870
3 La 0.2520 0.7650 0.0130
4 La 0.2614 0.7575 0.5038
5 La 0.7386 0.2425 0.4962
6 La 0.7480 0.2350 0.9870
7 La 0.7480 0.7611 0.5130
8 La 0.7537 0.7575 0.9962
9 Sb 0.0000 0.5000 0.5000
10 Sb 0.5000 0.0000 0.0000
11 Sb 0.5000 0.5000 0.0000
12 Sb 0.5000 0.5000 0.5000
13 Te 0.0000 0.0000 0.5000
14 Te 0.0000 0.5000 0.0000
15 S 0.0000 0.0000 0.0000
16 S 0.5000 0.0000 0.5000

---

Here is crystalline SrBePd2Au at its relaxed geometry from the Alexandria database. Energies are from GGA-PBE.

As for the energy of formation from the pure elements: -0.4840 eV per atom. Its symmetry is No. 123.

Cell lengths 4.4892, 4.4892, 4.6405 Å; angles 90.00, 90.00, 90.00 degrees
Fractional coordinates of all 5 atoms:
1 Sr 0.0000 0.0000 0.0000
2 Be 0.5000 0.5000 0.5000
3 Pd 0.0000 0.5000 0.5000
4 Pd 0.5000 0.0000 0.5000
5 Au 0.5000 0.5000 0.0000

---

Here is crystalline TlPIr2 at its relaxed geometry from the Alexandria database. Energies are from GGA-PBE.

As for the energy of formation from the pure elements: 0.6929 eV per atom. Its symmetry is No. 12. The energy above the most stable polymorph in this dataset is 639 meV/atom.

Cell lengths 5.3526, 5.3526, 2.9520 Å; angles 105.35, 105.35, 113.79 degrees
Fractional coordinates of all 4 atoms:
1 Tl 0.0000 0.0000 0.0000
2 P 0.5000 0.5000 0.0000
3 Ir 0.0000 0.5000 0.0000
4 Ir 0.5000 0.0000 0.0000